[1]
Compound: TaZnCr
Source: Alexandria via LeMat-Bulk
Functional: PBE-GGA
Structure: relaxed

Results
As for the symmetry: I4mm.

```
TaZnCr
1.0
6.556 0.000 0.000
5.471 3.613 0.000
-6.013 -1.807 1.886
Cr Ta Zn
1 1 1
direct
0.992 0.992 0.000 Cr
0.667 0.667 0.000 Ta
0.341 0.341 0.000 Zn
```

---

[2]
Compound: TaZn2Cr
Source: Alexandria via LeMat-Bulk
Functional: PBE-GGA
Structure: relaxed

Results
As for the symmetry: Cmm2.

```
TaZn2Cr
1.0
-2.578 -0.679 0.416
1.132 -2.115 -1.235
2.098 -3.309 7.592
Cr Ta Zn
1 1 2
direct
0.000 0.000 0.494 Cr
0.500 0.500 0.739 Ta
0.000 0.000 0.007 Zn
0.500 0.500 0.259 Zn
```

---

[3]
Compound: TaZnCr3
Source: Alexandria via LeMat-Bulk
Functional: PBE-GGA
Structure: relaxed

Results
As for the symmetry: Pm-3m.

```
TaZnCr3
1.0
4.513 0.000 0.000
0.000 4.513 0.000
0.000 0.000 4.513
Cr Zn Ta
3 1 1
direct
0.000 0.500 0.000 Cr
0.000 0.000 0.500 Cr
0.500 0.000 0.000 Cr
0.500 0.500 0.500 Zn
0.000 0.000 0.000 Ta
```

---

ΔH_f (0 K)? In order: 0.2839; 0.1511; 1.8421 eV/atom.